First-principles (PBE-GGA) data for a relaxed DyErLuAg crystal, as listed in Alexandria via LeMat-Bulk.

Values from the calculation:
E_form	42	meV per atom
D(E_F)	3.1	states/eV/cell
size of the total moment	0.000	μB per atom

a = 5.318 Å, b = 5.318 Å, c = 5.318 Å
α = 60.00°, β = 60.00°, γ = 60.00°
Atoms (fractional coordinates):
Er: 0.500 0.500 0.500
Lu: 0.750 0.750 0.750
Ag: 0.250 0.250 0.250
Dy: 0.000 0.000 0.000

First-principles (PBE-GGA) data for a relaxed Hf2ZrAg crystal, as listed in Alexandria via LeMat-Bulk.

Values from the calculation:
E_form	-37	meV per atom
D(E_F)	3.1	states/eV/cell
energy above the lowest structure with this stoichiometry	0	meV/atom
size of the total moment	0.000	μB per atom

a = 3.196 Å, b = 3.196 Å, c = 8.326 Å
α = 90.00°, β = 90.00°, γ = 90.00°
Atoms (fractional coordinates):
Hf: 0.000 0.000 0.759
Hf: 0.000 0.000 0.241
Zr: 0.500 0.500 0.500
Ag: 0.500 0.500 0.000

First-principles (PBE-GGA) data for a relaxed ScCo crystal, as listed in Alexandria via LeMat-Bulk.

Values from the calculation:
E_form	-175	meV per atom
D(E_F)	4.5	states/eV/cell
size of the total moment	0.130	μB per atom

a = 4.969 Å, b = 4.969 Å, c = 7.483 Å
α = 62.41°, β = 62.41°, γ = 36.36°
Site moments in Bohr magnetons follow the coordinates.
Atoms (fractional coordinates):
Sc: 0.634 0.634 0.692  -0.08
Sc: 0.023 0.023 0.407  -0.10
Sc: 0.788 0.788 0.009  -0.10
Co: 0.041 0.041 0.049  0.57
Co: 0.345 0.345 0.703  -0.06
Co: 0.336 0.336 0.307  0.75

First-principles (PBE-GGA) data for a relaxed Sr2MgZn crystal, as listed in Alexandria via LeMat-Bulk.

Values from the calculation:
E_form	-63	meV per atom
D(E_F)	4.0	states/eV/cell
energy above the lowest structure with this stoichiometry	56	meV/atom
size of the total moment	0.000	μB per atom

a = 8.235 Å, b = 8.235 Å, c = 8.235 Å
α = 33.81°, β = 33.81°, γ = 33.81°
Atoms (fractional coordinates):
Sr: 0.033 0.033 0.033
Sr: 0.217 0.217 0.217
Zn: 0.458 0.458 0.458
Mg: 0.792 0.792 0.792

First-principles (PBE-GGA) data for a relaxed ZnCrSn crystal, as listed in Alexandria via LeMat-Bulk.

Values from the calculation:
E_form	180	meV per atom
D(E_F)	3.3	states/eV/cell
size of the total moment	0.087	μB per atom

a = 3.037 Å, b = 3.037 Å, c = 12.314 Å
α = 90.00°, β = 90.07°, γ = 90.00°
Site moments in Bohr magnetons follow the coordinates.
Atoms (fractional coordinates):
Cr: 0.126 0.000 0.845  -1.52
Cr: 0.626 0.500 0.752  1.95
Zn: 0.125 0.000 0.620  -0.01
Zn: 0.632 0.500 0.213  0.01
Sn: 0.132 0.000 0.390  0.01
Sn: 0.627 0.500 0.996  0.05

First-principles (PBE-GGA) data for a relaxed KTcW2 crystal, as listed in Alexandria via LeMat-Bulk.

Values from the calculation:
E_form	1842	meV per atom
D(E_F)	3.7	states/eV/cell
energy above the lowest structure with this stoichiometry	1084	meV/atom
size of the total moment	0.000	μB per atom

a = 4.967 Å, b = 4.967 Å, c = 2.840 Å
α = 90.00°, β = 90.00°, γ = 90.00°
Atoms (fractional coordinates):
K: 0.500 0.000 0.500
Tc: 0.000 0.500 0.500
W: 0.000 0.000 0.000
W: 0.500 0.500 0.000

First-principles (PBE-GGA) data for a relaxed Ca3Ga5Cu6 crystal, as listed in Alexandria via LeMat-Bulk.

Values from the calculation:
E_form	-316	meV per atom
D(E_F)	6.1	states/eV/cell
size of the total moment	0.000	μB per atom

a = 4.282 Å, b = 8.071 Å, c = 8.071 Å
α = 67.54°, β = 74.62°, γ = 74.62°
Atoms (fractional coordinates):
Ca: 0.000 0.000 0.000
Ca: 0.694 0.306 0.306
Ca: 0.306 0.694 0.694
Ga: 0.672 0.674 0.983
Ga: 0.328 0.326 0.017
Ga: 0.672 0.983 0.674
Ga: 0.328 0.017 0.326
Ga: 0.000 0.500 0.500
Cu: 0.500 0.702 0.298
Cu: 0.500 0.298 0.702
Cu: 0.879 0.401 0.840
Cu: 0.121 0.599 0.160
Cu: 0.879 0.840 0.401
Cu: 0.121 0.160 0.599

First-principles (PBE-GGA) data for a relaxed Rb2I2O7 crystal, as listed in Alexandria via LeMat-Bulk.

Values from the calculation:
raw formation energy	-0.73	eV per atom
size of the total moment	0.000	μB per atom

a = 6.811 Å, b = 5.792 Å, c = 6.811 Å
α = 96.10°, β = 83.64°, γ = 83.90°
Atoms (fractional coordinates):
Rb: 0.706 0.500 0.706
Rb: 0.294 0.500 0.294
I: 0.777 0.933 0.223
I: 0.223 0.067 0.777
O: 0.110 0.246 0.607
O: 0.607 0.754 0.110
O: 0.890 0.754 0.393
O: 0.393 0.246 0.890
O: 0.000 0.000 0.000
O: 0.373 0.820 0.627
O: 0.627 0.180 0.373

First-principles (PBE-GGA) data for a relaxed NaDyCuAu crystal, as listed in Alexandria via LeMat-Bulk.

Values from the calculation:
E_form	-258	meV per atom
D(E_F)	2.1	states/eV/cell
size of the total moment	0.000	μB per atom

a = 4.916 Å, b = 4.916 Å, c = 4.916 Å
α = 60.00°, β = 60.00°, γ = 60.00°
Atoms (fractional coordinates):
Na: 0.500 0.500 0.500
Au: 0.750 0.750 0.750
Cu: 0.250 0.250 0.250
Dy: 0.000 0.000 0.000

First-principles (PBE-GGA) data for a relaxed Sr2CoAs crystal, as listed in Alexandria via LeMat-Bulk.

Values from the calculation:
E_form	-29	meV per atom
D(E_F)	4.0	states/eV/cell
size of the total moment	0.000	μB per atom

a = 3.496 Å, b = 3.496 Å, c = 8.828 Å
α = 90.00°, β = 90.00°, γ = 89.70°
Atoms (fractional coordinates):
As: 0.000 0.000 0.580
Co: 0.500 0.500 0.661
Sr: 0.000 0.000 0.925
Sr: 0.500 0.500 0.334

First-principles (PBE-GGA) data for a relaxed CaYPtPb crystal, as listed in Alexandria via LeMat-Bulk.

Values from the calculation:
E_form	-834	meV per atom
D(E_F)	1.2	states/eV/cell
size of the total moment	0.000	μB per atom

a = 3.551 Å, b = 3.551 Å, c = 8.068 Å
α = 90.00°, β = 90.00°, γ = 90.00°
Atoms (fractional coordinates):
Ca: 0.500 0.500 0.789
Y: 0.500 0.500 0.364
Pt: 0.000 0.000 0.553
Pb: 0.000 0.000 0.078

First-principles (PBE-GGA) data for a relaxed CsH crystal, as listed in Alexandria via LeMat-Bulk.

Values from the calculation:
D(E_F)	0.0	states/eV/cell
electronic total energy	-9.069	eV for the cell shown
size of the total moment	0.000	μB per atom

a = 4.383 Å, b = 4.383 Å, c = 7.563 Å
α = 90.00°, β = 90.00°, γ = 120.00°
Atoms (fractional coordinates):
Cs: 0.333 0.667 0.250
Cs: 0.667 0.333 0.750
H: 0.000 0.000 0.000
H: 0.000 0.000 0.500

Question: Which formula does entry 8 have?
Answer: Rb2I2O7

Question: Number 5 is which compound?
Answer: ZnCrSn